# 1
The following is a DFT calculation (GGA-PBE) of an optimized crystal structure of Ho2BeSi4Ni3.

Calculated values
For the calculated volume, the calculation gives 14.7 A^3/atom. As for the crystal system: tetragonal. As for the raw total energy: -5.959 eV per atom.

Lattice parameters (Å, degrees): 3.916 3.916 9.571 90.00 90.00 90.00
Space group P-4m2 (No. 115)
Asymmetric unit:
1 Ho 0.000 0.500 0.249
2 Be 0.500 0.500 0.000
3 Si 0.000 0.000 0.500
4 Si 0.000 0.500 0.868
5 Si 0.500 0.500 0.500
6 Ni 0.000 0.000 0.000
7 Ni 0.000 0.500 0.626


# 2
The following is a DFT calculation (GGA-PBE) of an optimized crystal structure of NdCuSn.

Calculated values
As for the energy relative to the elements: -0.106 eV/atom. For the calculated volume, the calculation gives 25.5 A^3/atom. As for the crystal system: tetragonal. As for the raw total energy: -4.394 eV per atom.

Lattice parameters (Å, degrees): 4.190 4.190 8.711 90.00 90.00 90.00
Space group I4mm (No. 107)
Asymmetric unit:
1 Nd 0.000 0.000 0.000
2 Cu 0.000 0.000 0.342
3 Sn 0.000 0.000 0.649